DFT (PBE+U) results for a relaxed structure of Rb2AlCrF6.

The density of states at the Fermi level comes out at 0.00 states/eV per cell. The calculation puts the volume at 312.8 Å³ per cell. The raw total energy comes out at -5.2867 eV per atom. For the density, the calculation gives 3.86 g/cm³.

It has space group I4/mmm (No. 139), with a = 5.9935 Å, b = 5.9935 Å, c = 8.7065 Å, α = 90.00°, β = 90.00° and γ = 90.00°. Symmetry generates all atoms from Rb at (0.0000, 0.5000, 0.2500), Al at (0.0000, 0.0000, 0.0000), Cr at (0.0000, 0.0000, 0.5000), F at (0.0000, 0.0000, 0.2114) and F at (0.2181, 0.2181, 0.0000).